--- one ---
Entry from Alexandria via LeMat-Bulk: an optimized crystal structure of ScBeNb3 (PBE).

a = 4.536 Å, b = 4.536 Å, c = 4.536 Å
α = 90.00°, β = 90.00°, γ = 90.00°
Element x y z (fractional)
Sc1 0.000 0.000 0.000
Be1 0.500 0.500 0.500
Nb1 0.000 0.500 0.500
Nb2 0.500 0.000 0.500
Nb3 0.500 0.500 0.000

## Properties
For the total moment, the calculation gives 0.00 μB/f.u.


--- two ---
Entry from Alexandria via LeMat-Bulk: an optimized crystal structure of ScBeNb3 (PBE).

a = 4.710 Å, b = 4.710 Å, c = 4.710 Å
α = 90.00°, β = 90.00°, γ = 90.00°
Element x y z (fractional)
Sc1 0.000 0.000 0.000
Be1 0.500 0.500 0.500
Nb1 0.000 0.000 0.500
Nb2 0.000 0.500 0.000
Nb3 0.500 0.000 0.000

## Properties
For the total moment, the calculation gives 0.00 μB/f.u.


Which is most stable, and by how much? one, by 1396 meV per atom.


--- one ---
Entry from Alexandria via LeMat-Bulk: an optimized crystal structure of ScBe3Nb (PBE).

a = 4.393 Å, b = 4.393 Å, c = 4.393 Å
α = 90.00°, β = 90.00°, γ = 90.00°
Element x y z (fractional)
Sc1 0.000 0.000 0.000
Be1 0.000 0.500 0.500
Be2 0.500 0.000 0.500
Be3 0.500 0.500 0.000
Nb1 0.500 0.500 0.500

## Properties
For the total moment, the calculation gives 0.00 μB/f.u.


--- two ---
Entry from Alexandria via LeMat-Bulk: an optimized crystal structure of ScBe3Nb (PBE).

a = 4.231 Å, b = 4.231 Å, c = 4.231 Å
α = 90.00°, β = 90.00°, γ = 90.00°
Element x y z (fractional)
Sc1 0.000 0.000 0.000
Be1 0.000 0.000 0.500
Be2 0.000 0.500 0.000
Be3 0.500 0.000 0.000
Nb1 0.500 0.500 0.500

## Properties
For the total moment, the calculation gives 1.99 μB/f.u.


Which is most stable, and by how much? one, by 590 meV per atom.


--- one ---
Entry from Alexandria via LeMat-Bulk: an optimized crystal structure of ScBe4Nb (PBE).

a = 3.044 Å, b = 3.781 Å, c = 6.576 Å
α = 90.00°, β = 90.00°, γ = 90.00°
Element x y z (fractional)
Sc1 0.000 0.000 0.000
Be1 0.500 0.000 0.341
Be2 0.500 0.000 0.659
Be3 0.500 0.500 0.176
Be4 0.500 0.500 0.824
Nb1 0.000 0.500 0.500

## Properties
For the total moment, the calculation gives 0.00 μB/f.u.


--- two ---
Entry from Alexandria via LeMat-Bulk: an optimized crystal structure of ScBe4Nb (PBE).

a = 4.698 Å, b = 4.698 Å, c = 4.698 Å
α = 60.00°, β = 60.00°, γ = 60.00°
Element x y z (fractional)
Sc1 0.000 0.000 0.000
Be1 0.133 0.622 0.622
Be2 0.622 0.133 0.622
Be3 0.622 0.622 0.133
Be4 0.622 0.622 0.622
Nb1 0.250 0.250 0.250

## Properties
For the total moment, the calculation gives 2.07 μB/f.u.


Which is most stable, and by how much? one, by 46 meV per atom.


--- one ---
Entry from Alexandria via LeMat-Bulk: an optimized crystal structure of BeNbSe3 (PBE).

a = 5.047 Å, b = 5.047 Å, c = 5.047 Å
α = 90.00°, β = 90.00°, γ = 90.00°
Element x y z (fractional)
Be1 0.000 0.000 0.000
Nb1 0.500 0.500 0.500
Se1 0.000 0.500 0.500
Se2 0.500 0.000 0.500
Se3 0.500 0.500 0.000

## Properties
For the total moment, the calculation gives 0.00 μB/f.u.


--- two ---
Entry from Alexandria via LeMat-Bulk: an optimized crystal structure of BeNbSe3 (PBE).

a = 4.552 Å, b = 4.552 Å, c = 4.552 Å
α = 90.00°, β = 90.00°, γ = 90.00°
Element x y z (fractional)
Be1 0.000 0.000 0.000
Nb1 0.500 0.500 0.500
Se1 0.000 0.000 0.500
Se2 0.000 0.500 0.000
Se3 0.500 0.000 0.000

## Properties
For the total moment, the calculation gives 1.67 μB/f.u.


Which is most stable, and by how much? two, by 46 meV per atom.


--- one ---
Entry from Alexandria via LeMat-Bulk: an optimized crystal structure of BeNb2Se (PBE).

a = 4.435 Å, b = 4.435 Å, c = 4.435 Å
α = 60.00°, β = 60.00°, γ = 60.00°
Element x y z (fractional)
Be1 0.000 0.000 0.000
Nb1 0.250 0.250 0.250
Nb2 0.750 0.750 0.750
Se1 0.500 0.500 0.500

## Properties
For the total moment, the calculation gives 0.00 μB/f.u.


--- two ---
Entry from Alexandria via LeMat-Bulk: an optimized crystal structure of BeNb2Se (PBE).

a = 7.051 Å, b = 7.051 Å, c = 7.051 Å
α = 136.11°, β = 136.11°, γ = 63.81°
Element x y z (fractional)
Be1 0.000 0.000 0.000
Be2 0.750 0.250 0.500
Nb1 0.067 0.625 0.942
Nb2 0.375 0.317 0.442
Nb3 0.683 0.125 0.058
Nb4 0.875 0.933 0.558
Se1 0.250 0.750 0.500
Se2 0.500 0.500 0.000

## Properties
For the total moment, the calculation gives 0.00 μB/f.u.


Which is most stable, and by how much? one, by 615 meV per atom.


--- one ---
Entry from Alexandria via LeMat-Bulk: an optimized crystal structure of Be2Nb2Si (PBE).

a = 5.028 Å, b = 5.028 Å, c = 8.134 Å
α = 107.39°, β = 107.39°, γ = 43.13°
Element x y z (fractional)
Be1 0.009 0.009 0.152
Be2 0.095 0.095 0.620
Be3 0.905 0.905 0.380
Be4 0.991 0.991 0.848
Nb1 0.345 0.345 0.969
Nb2 0.388 0.388 0.616
Nb3 0.612 0.612 0.384
Nb4 0.655 0.655 0.031
Si1 0.273 0.273 0.275
Si2 0.727 0.727 0.725

## Properties
For the total moment, the calculation gives 0.00 μB/f.u.


--- two ---
Entry from Alexandria via LeMat-Bulk: an optimized crystal structure of Be2Nb2Si (PBE).

a = 6.002 Å, b = 6.002 Å, c = 3.590 Å
α = 90.00°, β = 90.00°, γ = 90.00°
Element x y z (fractional)
Be1 0.120 0.380 0.000
Be2 0.380 0.880 0.000
Be3 0.620 0.120 0.000
Be4 0.880 0.620 0.000
Nb1 0.179 0.679 0.500
Nb2 0.321 0.179 0.500
Nb3 0.679 0.821 0.500
Nb4 0.821 0.321 0.500
Si1 0.000 0.000 0.000
Si2 0.500 0.500 0.000

## Properties
For the total moment, the calculation gives 0.00 μB/f.u.


Which is most stable, and by how much? two, by 6 meV per atom.